Record 1
Density functional theory data (GGA-PBE) for a relaxed RuRh2ClO crystal.

abc: 4.408 4.408 4.408
angles: 90.00 90.00 90.00
Space group P4/mmm (No. 123)
Unique sites:
Ru 0.000 0.000 0.000
Rh 0.000 0.500 0.500
Cl 0.000 0.000 0.500
O 0.500 0.500 0.000

Its total energy is -0.173 Ha/atom. The value obtained for the total magnetization is 4.31 μB/f.u. For the density of states at the Fermi level, the calculation gives 5.9 states/eV/cell. The value obtained for the formation energy (no corrections) is 1.45 eV per atom.



Record 2
Density functional theory data (GGA-PBE) for a relaxed HRhS3 crystal.

abc: 4.703 4.703 4.703
angles: 90.00 90.00 90.00
Space group Pm-3m (No. 221)
Unique sites:
H 0.000 0.000 0.000
Rh 0.500 0.500 0.500
S 0.000 0.500 0.500

Its total energy is -0.133 Ha/atom. The polymorph energy (0 for the lowest one) is 0 meV/atom. The value obtained for the total magnetization is 2.93 μB/f.u. For the density of states at the Fermi level, the calculation gives 5.4 states/eV/cell.



Record 3
Density functional theory data (GGA-PBE) for a relaxed CrIrPt2 crystal.

abc: 9.096 2.804 4.718
angles: 90.00 100.75 90.00
Space group C2/m (No. 12)
Unique sites:
Cr 0.000 0.000 0.000
Ir 0.000 0.500 0.500
Pt 0.247 0.500 0.248

Its total energy is -0.283 Ha/atom. The value obtained for the total magnetization is 2.04 μB/f.u. For the density of states at the Fermi level, the calculation gives 11.6 states/eV/cell.



Record 4
Density functional theory data (GGA-PBE) for a relaxed TlZnPb2 crystal.

abc: 6.762 10.874 3.343
angles: 90.00 112.03 90.00
Space group C2/m (No. 12)
Unique sites:
Tl 0.000 0.000 0.000
Zn 0.000 0.500 0.000
Pb 0.250 0.250 0.500

Its total energy is -0.096 Ha/atom. The value obtained for the total magnetization is 0.00 μB/f.u. For the density of states at the Fermi level, the calculation gives 3.2 states/eV/cell.



Record 5
Density functional theory data (GGA-PBE) for a relaxed Na2SrF crystal.

abc: 8.141 8.141 8.141
angles: 90.00 90.00 90.00
Space group Fm-3m (No. 225)
Unique sites:
Na 0.250 0.250 0.250
Sr 0.000 0.000 0.000
F 0.000 0.000 0.500

Its total energy is -0.074 Ha/atom. The polymorph energy (0 for the lowest one) is 693 meV/atom. The value obtained for the total magnetization is 0.00 μB/f.u. For the density of states at the Fermi level, the calculation gives 21.3 states/eV/cell. The value obtained for the formation energy (no corrections) is -0.46 eV per atom.



Record 6
Density functional theory data (GGA-PBE) for a relaxed HoMg2Pb crystal.

abc: 3.549 3.549 8.432
angles: 90.00 90.00 90.00
Space group P4/mmm (No. 123)
Unique sites:
Ho 0.000 0.000 0.000
Mg 0.500 0.500 0.261
Pb 0.000 0.000 0.500

Its total energy is -0.109 Ha/atom. The polymorph energy (0 for the lowest one) is 194 meV/atom. The value obtained for the total magnetization is 0.05 μB/f.u. For the density of states at the Fermi level, the calculation gives 2.4 states/eV/cell.



Record 7
Density functional theory data (GGA-PBE) for a relaxed RbLiIn3 crystal.

abc: 5.364 5.364 5.364
angles: 90.00 90.00 90.00
Space group Pm-3m (No. 221)
Unique sites:
Rb 0.000 0.000 0.000
Li 0.500 0.500 0.500
In 0.000 0.500 0.500

Its total energy is -0.080 Ha/atom. The polymorph energy (0 for the lowest one) is 0 meV/atom. The value obtained for the total magnetization is 0.00 μB/f.u. For the density of states at the Fermi level, the calculation gives 2.5 states/eV/cell.



Record 8
Density functional theory data (GGA-PBE) for a relaxed Pm2Sm3Cd4 crystal.

abc: 6.824 19.044 8.278
angles: 90.00 90.00 90.00
Space group Cmce (No. 64)
Unique sites:
Pm 0.000 0.091 0.099
Sm 0.000 0.000 0.500
Sm 0.250 0.247 0.750
Cd 0.000 0.160 0.485
Cd 0.250 0.077 0.750

Its total energy is -0.117 Ha/atom. The value obtained for the total magnetization is 0.00 μB/f.u. For the density of states at the Fermi level, the calculation gives 40.1 states/eV/cell.